Entry from Alexandria: a relaxed Ba3Cd7In4 crystal (PBE-GGA).

The structure in POSCAR format:
```
Ba3Cd7In4
1.0
5.053 0.000 1.275
1.803 8.734 3.505
0.285 0.537 9.522
Ba Cd In
3 7 4
Direct
0.293 0.208 0.205
0.707 0.792 0.795
0.000 0.500 0.500
0.344 0.797 0.514
0.500 0.175 0.825
0.860 0.357 0.924
0.656 0.203 0.486
0.140 0.643 0.076
0.000 0.000 0.000
0.500 0.825 0.175
0.656 0.486 0.203
0.344 0.514 0.797
0.858 0.927 0.356
0.142 0.073 0.644
```

For the energy of formation, the calculation gives -309 meV/atom. The crystal system is monoclinic. The magnetic moment comes out at 0.00 μB/cell. For the total energy, the calculation gives -1.96 eV per atom.



Entry from Alexandria: a relaxed BaCdIn crystal (PBE-GGA).

The structure in POSCAR format:
```
BaCdIn
1.0
5.401 0.000 0.000
2.701 4.678 0.000
2.701 1.559 4.410
Cd Ba In
1 1 1
Direct
0.750 0.750 0.750
0.500 0.500 0.500
0.000 0.000 0.000
```

For the energy of formation, the calculation gives -207 meV/atom. The crystal system is cubic. The magnetic moment comes out at 0.00 μB/cell. For the total energy, the calculation gives -2.07 eV per atom.



Entry from Alexandria: a relaxed BaCdIn crystal (PBE-GGA).

The structure in POSCAR format:
```
BaCdIn
1.0
-2.031 4.807 0.646
-2.250 -3.378 -3.344
-2.465 -1.463 3.137
Cd Ba In
1 1 1
Direct
0.667 0.333 0.500
0.000 0.000 0.000
0.333 0.667 0.500
```

For the energy of formation, the calculation gives -382 meV/atom. The crystal system is hexagonal. The magnetic moment comes out at 0.00 μB/cell. For the total energy, the calculation gives -2.24 eV per atom.



Entry from Alexandria: a relaxed BaCdIn crystal (PBE-GGA).

The structure in POSCAR format:
```
BaCdIn
1.0
6.425 0.000 0.000
0.000 6.455 0.000
0.000 0.000 9.040
Cd Ba In
4 4 4
Direct
0.250 0.250 0.750
0.250 0.750 0.250
0.750 0.750 0.250
0.750 0.250 0.750
0.000 0.250 0.373
0.000 0.750 0.627
0.500 0.750 0.873
0.500 0.250 0.127
0.000 0.000 0.000
0.000 0.500 0.000
0.500 0.500 0.500
0.500 0.000 0.500
```

For the energy of formation, the calculation gives -378 meV/atom. The crystal system is orthorhombic. The magnetic moment comes out at 0.00 μB/cell. For the total energy, the calculation gives -2.24 eV per atom.



Entry from Alexandria: a relaxed BaCd2In4 crystal (PBE-GGA).

The structure in POSCAR format:
```
BaCd2In4
1.0
4.940 -0.028 2.604
2.124 5.951 1.881
-0.387 -0.205 6.578
In Ba Cd
4 1 2
Direct
0.684 0.616 0.005
0.316 0.384 0.995
0.684 0.005 0.616
0.316 0.995 0.384
0.000 0.000 0.000
0.784 0.467 0.467
0.216 0.533 0.533
```

For the energy of formation, the calculation gives -200 meV/atom. The crystal system is monoclinic. The magnetic moment comes out at 0.00 μB/cell. For the total energy, the calculation gives -2.30 eV per atom.



Entry from Alexandria: a relaxed BaCd5In7 crystal (PBE-GGA).

The structure in POSCAR format:
```
BaCd5In7
1.0
-3.569 3.075 3.786
-7.268 -3.637 0.927
1.061 -2.378 7.754
Ba Cd In
1 5 7
Direct
0.000 0.000 0.000
0.500 0.996 0.504
0.000 0.996 0.504
0.500 0.504 0.996
0.000 0.504 0.996
0.716 0.784 0.784
0.645 0.355 0.355
0.354 0.646 0.646
0.001 0.353 0.645
0.001 0.645 0.353
0.284 0.216 0.216
0.500 0.792 0.207
0.500 0.207 0.792
```

For the energy of formation, the calculation gives -109 meV/atom. The crystal system is orthorhombic. The magnetic moment comes out at 0.00 μB/cell. For the total energy, the calculation gives -2.08 eV per atom.



Entry from Alexandria: a relaxed Ba2CdIn2 crystal (PBE-GGA).

The structure in POSCAR format:
```
Ba2CdIn2
1.0
-0.816 -3.012 -7.460
-4.844 -5.803 2.873
-4.422 3.276 -0.839
Cd Ba In
2 4 4
Direct
0.000 0.000 0.000
0.500 0.500 0.000
0.167 0.667 0.500
0.667 0.833 0.500
0.833 0.333 0.500
0.333 0.167 0.500
0.364 0.864 0.000
0.864 0.636 0.000
0.636 0.136 0.000
0.136 0.364 0.000
```

For the energy of formation, the calculation gives -288 meV/atom. The crystal system is tetragonal. The magnetic moment comes out at 0.00 μB/cell. For the total energy, the calculation gives -2.34 eV per atom.



Entry from Alexandria: a relaxed Ba3Cd2In4 crystal (PBE-GGA).

The structure in POSCAR format:
```
Ba3Cd2In4
1.0
-4.347 1.592 2.400
-0.305 -2.456 -4.590
-1.575 -23.081 12.457
Ba Cd In
6 4 8
Direct
0.333 0.667 0.252
0.333 0.667 0.582
0.333 0.667 0.910
0.333 0.667 0.085
0.333 0.667 0.420
0.333 0.667 0.751
0.000 0.000 0.176
0.000 0.000 0.506
0.000 0.000 0.832
0.667 0.333 0.164
0.667 0.333 0.492
0.667 0.333 0.820
0.667 0.333 0.008
0.667 0.333 0.349
0.667 0.333 0.683
0.000 0.000 0.323
0.000 0.000 0.658
0.000 0.000 0.989
```

For the energy of formation, the calculation gives -394 meV/atom. The crystal system is trigonal. The magnetic moment comes out at 0.00 μB/cell. For the total energy, the calculation gives -2.45 eV per atom.



Entry from Alexandria: a relaxed Ba6CdIn2 crystal (PBE-GGA).

The structure in POSCAR format:
```
Ba6CdIn2
1.0
-2.346 -3.674 4.228
5.617 2.208 0.674
-5.173 11.092 6.768
Ba Cd In
6 1 2
Direct
0.667 0.333 0.082
0.333 0.667 0.918
0.000 0.000 0.243
0.333 0.667 0.410
0.000 0.000 0.757
0.667 0.333 0.590
0.000 0.000 0.500
0.333 0.667 0.673
0.667 0.333 0.327
```

For the energy of formation, the calculation gives -180 meV/atom. The crystal system is trigonal. The magnetic moment comes out at 0.00 μB/cell. For the total energy, the calculation gives -2.17 eV per atom.



Entry from Alexandria: a relaxed BaCdIn2 crystal (PBE-GGA).

The structure in POSCAR format:
```
BaCdIn2
1.0
-0.476 4.627 -1.793
-4.300 1.449 -2.064
-3.568 3.937 4.197
Cd Ba In
1 1 2
Direct
0.287 0.287 0.140
0.502 0.502 0.494
0.990 0.990 0.029
0.721 0.721 0.837
```

For the energy of formation, the calculation gives -283 meV/atom. The crystal system is monoclinic. The magnetic moment comes out at 0.00 μB/cell. For the total energy, the calculation gives -2.36 eV per atom.



Entry from Alexandria: a relaxed Ba2Cd9In crystal (PBE-GGA).

The structure in POSCAR format:
```
Ba2Cd9In
1.0
6.388 0.000 0.000
3.194 5.532 0.000
3.194 1.844 9.738
Ba Cd In
2 9 1
Direct
0.862 0.862 0.414
0.138 0.138 0.586
0.665 0.665 0.004
0.335 0.335 0.996
0.500 0.500 0.500
0.416 0.416 0.245
0.924 0.416 0.245
0.416 0.924 0.245
0.584 0.584 0.755
0.584 0.076 0.755
0.076 0.584 0.755
0.000 0.000 0.000
```

For the energy of formation, the calculation gives -136 meV/atom. The crystal system is trigonal. The magnetic moment comes out at 0.00 μB/cell. For the total energy, the calculation gives -1.37 eV per atom.



Entry from Alexandria: a relaxed Ba3Cd2In crystal (PBE-GGA).

The structure in POSCAR format:
```
Ba3Cd2In
1.0
-2.836 -2.676 -1.751
-0.192 -2.193 3.664
-9.514 7.480 3.978
Ba Cd In
3 2 1
Direct
0.000 0.000 0.000
0.000 0.000 0.665
0.000 0.000 0.335
0.500 0.500 0.832
0.500 0.500 0.168
0.500 0.500 0.500
```

For the energy of formation, the calculation gives -352 meV/atom. The crystal system is tetragonal. The magnetic moment comes out at 0.00 μB/cell. For the total energy, the calculation gives -2.07 eV per atom.